[1]
Below is a relaxed structure of Ho12Tm3Sc, with properties calculated at the PBE level.

Calculated volume = 30.3 A^3/atom
ΔH_f (0 K) = 27 meV/atom

Lattice parameters (Å, degrees): 4.9542 4.9542 19.7840 90.00 90.00 90.00
Closest atoms and distances in Å follow each position.
Space group P4/mmm (No. 123)
Asymmetric unit:
Ho: 0.0000 0.0000 0.0000 [1 per cell]  8 Ho 3.46, 4 Sc 3.50
Ho: 0.0000 0.0000 0.2479 [2 per cell]  4 Tm 3.50, 8 Ho 3.51
Ho: 0.0000 0.0000 0.5000 [1 per cell]  4 Tm 3.50, 8 Ho 3.51
Ho: 0.0000 0.5000 0.1221 [4 per cell]  8 Ho 3.46-3.51, 2 Sc 3.46, 2 Tm 3.52
Ho: 0.0000 0.5000 0.3740 [4 per cell]  8 Ho 3.50-3.51, 4 Tm 3.51
Tm: 0.5000 0.5000 0.2484 [2 per cell]  12 Ho 3.50-3.52
Tm: 0.5000 0.5000 0.5000 [1 per cell]  12 Ho 3.50-3.51
Sc: 0.5000 0.5000 0.0000 [1 per cell]  12 Ho 3.46-3.50

=====

[2]
Below is a relaxed structure of LiHoGeRh, with properties calculated at the PBE level.

Calculated volume = 16.8 A^3/atom
ΔH_f (0 K) = -653 meV/atom

Lattice parameters (Å, degrees): 6.4597 6.4597 6.4597 90.00 90.00 90.00
Closest atoms and distances in Å follow each position.
Space group F-43m (No. 216)
Asymmetric unit:
Li: 0.0000 0.0000 0.0000 [4 per cell]  4 Ge 2.80, 4 Ho 2.80
Ho: 0.2500 0.2500 0.7500 [4 per cell]  4 Li 2.80, 4 Rh 2.80
Ge: 0.2500 0.2500 0.2500 [4 per cell]  4 Li 2.80, 4 Rh 2.80
Rh: 0.0000 0.0000 0.5000 [4 per cell]  4 Ge 2.80, 4 Ho 2.80

=====

[3]
Below is a relaxed structure of NaPrBi2, with properties calculated at the PBE level.

Calculated volume = 31.0 A^3/atom
ΔH_f (0 K) = -515 meV/atom
Excess energy over the best structure of this formula in the dataset = 68 meV per atom

Lattice parameters (Å, degrees): 3.6275 3.6275 9.4181 90.00 90.00 90.00
Closest atoms and distances in Å follow each position.
Space group P4/mmm (No. 123)
Asymmetric unit:
Na: 0.0000 0.0000 0.0000 [1 per cell]  8 Bi 3.47, 4 Na 3.63
Pr: 0.0000 0.0000 0.5000 [1 per cell]  8 Bi 3.50, 4 Pr 3.63
Bi: 0.5000 0.5000 0.2477 [2 per cell]  4 Na 3.47, 4 Pr 3.50, 4 Bi 3.63

=====

[4]
Below is a relaxed structure of BaGa4Sn12, with properties calculated at the PBE level.

Calculated volume = 28.4 A^3/atom
ΔH_f (0 K) = -61 meV/atom

Lattice parameters (Å, degrees): 9.8863 9.8863 9.8863 90.00 90.00 90.00
Closest atoms and distances in Å follow each position.
Space group Im-3 (No. 204)
Asymmetric unit:
Ba: 0.0000 0.0000 0.0000 [2 per cell]  12 Sn 3.80
Ga: 0.2500 0.2500 0.2500 [8 per cell]  6 Sn 2.83
Sn: 0.0000 0.3517 0.1546 [24 per cell]  2 Ga 2.83, 2 Sn 2.93-3.06

=====

[5]
Below is a relaxed structure of Na3Pr3GeS8, with properties calculated at the PBE level.

Calculated volume = 25.7 A^3/atom
Formation energy from raw total energies = -1396 meV/atom

Lattice parameters (Å, degrees): 8.1379 8.1379 20.1715 90.00 90.00 120.00
Closest atoms and distances in Å follow each position.
Space group R-3m (No. 166, hexagonal axes)
Asymmetric unit:
Na: 0.0000 0.5000 0.0000 [9 per cell]  6 S 2.94-2.95
Pr: 0.0000 0.5000 0.5000 [9 per cell]  6 S 2.83-2.89
Ge: 0.0000 0.0000 0.5000 [3 per cell]  6 S 2.51
S: 0.0000 0.0000 0.2448 [6 per cell]  3 Pr 2.83, 3 Na 2.95
S: 0.0421 0.5210 0.2379 [18 per cell]  1 Ge 2.51

=====

[6]
Below is a relaxed structure of YZn2Ni4, with properties calculated at the PBE level.

Calculated volume = 14.0 A^3/atom
ΔH_f (0 K) = -287 meV/atom
Excess energy over the best structure of this formula in the dataset = 0 meV per atom

Lattice parameters (Å, degrees): 8.0061 6.2526 4.9746 90.00 128.25 90.00
Closest atoms and distances in Å follow each position.
Space group C2/m (No. 12)
Asymmetric unit:
Y: 0.0000 0.0000 0.0000 [2 per cell]  12 Ni 2.73-3.02
Zn: 0.0006 0.5000 0.7508 [4 per cell]  2 Zn 2.48-2.49, 8 Ni 2.59-2.60
Ni: 0.1917 0.1922 0.6915 [8 per cell]  3 Ni 2.40-2.69, 4 Zn 2.59-2.60

=====

[7]
Below is a relaxed structure of Pa3Al3Ga2, with properties calculated at the PBE level.

Calculated volume = 21.6 A^3/atom
ΔH_f (0 K) = -198 meV/atom

Lattice parameters (Å, degrees): 6.6973 6.6973 4.4448 90.00 90.00 120.00
Closest atoms and distances in Å follow each position.
Space group P-62m (No. 189)
Asymmetric unit:
Pa: 0.0000 0.3880 0.0000 [3 per cell]  4 Ga 3.04, 6 Al 3.18-3.35
Al: 0.0000 0.7616 0.5000 [3 per cell]  2 Ga 2.61, 2 Al 2.77
Ga: 0.3333 0.6667 0.5000 [2 per cell]  3 Al 2.61

=====

[8]
Below is a relaxed structure of Na3Li3MgBr8, with properties calculated at the PBE level.

Calculated volume = 25.5 A^3/atom
Formation energy from raw total energies = -1525 meV/atom

Lattice parameters (Å, degrees): 8.0210 8.0210 20.5554 90.00 90.00 120.00
Closest atoms and distances in Å follow each position.
Space group R-3m (No. 166, hexagonal axes)
Asymmetric unit:
Na: 0.0000 0.5000 0.0000 [9 per cell]  6 Br 2.97-2.98
Li: 0.0000 0.5000 0.5000 [9 per cell]  6 Br 2.79-2.80
Mg: 0.0000 0.0000 0.5000 [3 per cell]  6 Br 2.71
Br: 0.0000 0.0000 0.2428 [6 per cell]  3 Li 2.79, 3 Na 2.97
Br: 0.0096 0.5048 0.2405 [18 per cell]  1 Mg 2.71, 2 Li 2.80, 2 Na 2.98

=====

[9]
Below is a relaxed structure of NaCd3In2Hg4, with properties calculated at the PBE level.

Calculated volume = 27.1 A^3/atom
ΔH_f (0 K) = 27 meV/atom

Lattice parameters (Å, degrees): 4.4001 4.4001 14.0007 90.00 90.00 90.00
Closest atoms and distances in Å follow each position.
Space group P-4m2 (No. 115)
Asymmetric unit:
Na: 0.0000 0.0000 0.0000 [1 per cell]  4 Hg 3.02, 4 Cd 3.11
Cd: 0.0000 0.5000 0.3507 [2 per cell]  5 Hg 2.84-3.03
Cd: 0.5000 0.5000 0.0000 [1 per cell]  4 Hg 3.02, 4 Na 3.11
In: 0.0000 0.5000 0.7490 [2 per cell]  4 Cd 3.41, 4 Hg 3.43
Hg: 0.0000 0.0000 0.5000 [1 per cell]  4 Cd 3.03, 4 Hg 3.11
Hg: 0.0000 0.5000 0.1480 [2 per cell]  3 Cd 2.84-3.02, 2 Na 3.02
Hg: 0.5000 0.5000 0.5000 [1 per cell]  4 Cd 3.03, 4 Hg 3.11

=====

[10]
Below is a relaxed structure of MgSc2Br, with properties calculated at the PBE level.

Calculated volume = 26.4 A^3/atom
Formation energy from raw total energies = -252 meV/atom
Excess energy over the best structure of this formula in the dataset = 154 meV per atom

Lattice parameters (Å, degrees): 3.4922 3.4922 30.0279 90.00 90.00 120.00
Closest atoms and distances in Å follow each position.
Space group R-3m (No. 166, hexagonal axes)
Asymmetric unit:
Mg: 0.0000 0.0000 0.0000 [3 per cell]  6 Sc 3.14, 6 Mg 3.49
Sc: 0.0000 0.0000 0.4134 [6 per cell]  1 Br 2.60
Br: 0.0000 0.0000 0.5000 [3 per cell]  2 Sc 2.60

=====

[11]
Below is a relaxed structure of Cu4SiHg, with properties calculated at the PBE level.

Calculated volume = 14.3 A^3/atom
Formation energy from raw total energies = 221 meV/atom

Lattice parameters (Å, degrees): 6.9933 6.9933 6.9933 90.00 90.00 90.00
Closest atoms and distances in Å follow each position.
Space group F-43m (No. 216)
Asymmetric unit:
Cu: 0.1253 0.1253 0.1253 [16 per cell]  6 Cu 2.47-2.48
Si: 0.0000 0.0000 0.5000 [4 per cell]  12 Cu 2.90, 4 Hg 3.03
Hg: 0.2500 0.2500 0.7500 [4 per cell]  12 Cu 2.90, 4 Si 3.03

=====

[12]
Below is a relaxed structure of EuHPt, with properties calculated at the PBE level.

Calculated volume = 17.3 A^3/atom
Excess energy over the best structure of this formula in the dataset = 0 meV per atom

Lattice parameters (Å, degrees): 3.9639 3.9639 3.8071 90.00 90.00 120.00
Closest atoms and distances in Å follow each position.
Space group P-6m2 (No. 187)
Asymmetric unit:
Eu: 0.0000 0.0000 0.0000 [1 per cell]  6 H 2.98, 6 Pt 2.98
H: 0.3333 0.6667 0.5000 [1 per cell]  3 Pt 2.29
Pt: 0.6667 0.3333 0.5000 [1 per cell]  3 H 2.29

=====

[13]
Below is a relaxed structure of Ta3InRu, with properties calculated at the PBE level.

Calculated volume = 23.7 A^3/atom
ΔH_f (0 K) = 2500 meV/atom
Excess energy over the best structure of this formula in the dataset = 1583 meV per atom

Lattice parameters (Å, degrees): 4.9115 4.9115 4.9115 90.00 90.00 90.00
Closest atoms and distances in Å follow each position.
Space group Pm-3m (No. 221)
Asymmetric unit:
Ta: 0.0000 0.0000 0.5000 [3 per cell]  2 In 2.46
In: 0.0000 0.0000 0.0000 [1 per cell]  6 Ta 2.46
Ru: 0.5000 0.5000 0.5000 [1 per cell]  12 Ta 3.47

=====

[14]
Below is a relaxed structure of AcPrRh2, with properties calculated at the PBE level.

Calculated volume = 24.8 A^3/atom
ΔH_f (0 K) = -658 meV/atom
Excess energy over the best structure of this formula in the dataset = 0 meV per atom

Lattice parameters (Å, degrees): 4.3130 4.0431 11.3777 90.00 90.00 90.00
Closest atoms and distances in Å follow each position.
Space group Amm2 (No. 38)
Asymmetric unit:
Ac: 0.0000 0.0000 0.0000 [2 per cell]  7 Rh 3.02-3.28
Pr: 0.5000 0.0000 0.7219 [2 per cell]  7 Rh 3.01-3.24
Rh: 0.0000 0.0000 0.2732 [2 per cell]  2 Rh 2.90, 4 Pr 3.01, 1 Ac 3.11
Rh: 0.5000 0.0000 0.4442 [2 per cell]  2 Rh 2.90, 4 Ac 3.02, 3 Pr 3.16-3.24

=====

[15]
Below is a relaxed structure of DyPaRe, with properties calculated at the PBE level.

Calculated volume = 22.4 A^3/atom
ΔH_f (0 K) = -12 meV/atom
Excess energy over the best structure of this formula in the dataset = 0 meV per atom

Lattice parameters (Å, degrees): 11.5192 3.4405 7.0784 90.00 106.52 90.00
Closest atoms and distances in Å follow each position.
Space group C2/m (No. 12)
Asymmetric unit:
Dy: 0.1434 0.0000 0.0710 [4 per cell]  4 Re 3.08, 5 Dy 3.17-3.44, 2 Pa 3.36
Pa: 0.1574 0.0000 0.5731 [4 per cell]  4 Re 2.86-2.91, 2 Pa 3.14
Re: 0.0032 0.5000 0.7183 [4 per cell]  4 Pa 2.86-2.91, 1 Re 3.07, 4 Dy 3.08

=====

[16]
Below is a relaxed structure of PuPa6Pt2, with properties calculated at the PBE level.

Calculated volume = 24.0 A^3/atom
ΔH_f (0 K) = -409 meV/atom

Lattice parameters (Å, degrees): 6.0394 7.3032 11.2536 90.00 119.50 90.00
Closest atoms and distances in Å follow each position.
Space group P2_1/c (No. 14)
Asymmetric unit:
Pu: 0.0000 0.0000 0.0000 [2 per cell]  6 Pa 2.50-2.55
Pa: 0.1104 0.0350 0.2437 [4 per cell]  1 Pu 2.50
Pa: 0.1890 0.6847 0.0471 [4 per cell]  1 Pu 2.51
Pa: 0.3967 0.1827 0.0504 [4 per cell]  1 Pu 2.55
Pt: 0.3477 0.0971 0.7503 [4 per cell]  6 Pa 2.86-3.05

=====

[17]
Below is a relaxed structure of Nd3Th2Sn4, with properties calculated at the PBE level.

Calculated volume = 30.7 A^3/atom
ΔH_f (0 K) = -662 meV/atom

Lattice parameters (Å, degrees): 8.5405 8.4877 8.2249 90.00 111.85 90.00
Closest atoms and distances in Å follow each position.
Space group P2_1/c (No. 14)
Asymmetric unit:
Nd: 0.0000 0.0000 0.0000 [2 per cell]  6 Sn 3.27-3.34
Nd: 0.2582 0.1691 0.7723 [4 per cell]  6 Sn 3.11-3.29
Th: 0.3035 0.6813 0.9385 [4 per cell]  5 Sn 3.24-3.51
Sn: 0.0110 0.6315 0.1302 [4 per cell]  1 Sn 3.05, 5 Nd 3.19-3.30, 1 Th 3.24
Sn: 0.4192 0.0337 0.1757 [4 per cell]  4 Nd 3.11-3.34, 2 Th 3.25-3.41

=====

[18]
Below is a relaxed structure of Mg12AgHg3, with properties calculated at the PBE level.

Calculated volume = 21.2 A^3/atom
ΔH_f (0 K) = -129 meV/atom

Lattice parameters (Å, degrees): 4.4055 4.4055 17.4742 90.00 90.00 90.00
Closest atoms and distances in Å follow each position.
Space group P4/mmm (No. 123)
Asymmetric unit:
Mg: 0.0000 0.0000 0.0000 [1 per cell]  8 Mg 3.05, 4 Ag 3.12
Mg: 0.0000 0.0000 0.2480 [2 per cell]  4 Hg 3.12, 8 Mg 3.12-3.13
Mg: 0.0000 0.0000 0.5000 [1 per cell]  8 Mg 3.11, 4 Hg 3.12
Mg: 0.0000 0.5000 0.1209 [4 per cell]  8 Mg 3.05-3.13, 2 Ag 3.05, 2 Hg 3.13
Mg: 0.0000 0.5000 0.3743 [4 per cell]  4 Hg 3.11, 8 Mg 3.11-3.12
Ag: 0.5000 0.5000 0.0000 [1 per cell]  12 Mg 3.05-3.12
Hg: 0.5000 0.5000 0.2483 [2 per cell]  12 Mg 3.11-3.13
Hg: 0.5000 0.5000 0.5000 [1 per cell]  12 Mg 3.11-3.12

=====

[19]
Below is a relaxed structure of ZrFeRh, with properties calculated at the PBE level.

Calculated volume = 16.6 A^3/atom
ΔH_f (0 K) = -370 meV/atom

Lattice parameters (Å, degrees): 3.7547 3.7547 14.1125 90.00 90.00 90.00
Closest atoms and distances in Å follow each position.
Space group I4/mmm (No. 139)
Asymmetric unit:
Zr: 0.0000 0.0000 0.1713 [4 per cell]  5 Rh 2.71-2.79
Fe: 0.0000 0.5000 0.0000 [4 per cell]  4 Rh 2.64, 4 Fe 2.65
Rh: 0.0000 0.0000 0.3687 [4 per cell]  4 Fe 2.64, 5 Zr 2.71-2.79

=====

[20]
Below is a relaxed structure of PrP3Ir3, with properties calculated at the PBE level.

Calculated volume = 19.4 A^3/atom
ΔH_f (0 K) = -613 meV/atom

Lattice parameters (Å, degrees): 6.4724 6.4724 6.4724 90.00 90.00 90.00
Closest atoms and distances in Å follow each position.
Space group Pm-3n (No. 223)
Asymmetric unit:
Pr: 0.0000 0.0000 0.0000 [2 per cell]  12 Ir 3.62, 12 P 3.62
P: 0.0000 0.2500 0.5000 [6 per cell]  4 Ir 2.29
Ir: 0.0000 0.5000 0.2500 [6 per cell]  4 P 2.29